Record 1
Computed, not measured: a relaxed structure of Th3BiSb at the PBE level of DFT.

## Properties
Formation energy from raw total energies: -0.38 eV/atom
Calculated volume: 33.2 Å³ per atom

Cell and atoms, written as CIF:
```
data_Th3BiSb
_chemical_formula_sum 'Th6 Bi2 Sb2'
_symmetry_space_group_name_H-M 'P -1'
_symmetry_Int_Tables_number 2
_cell_length_a 6.0823
_cell_length_b 7.3071
_cell_length_c 8.5219
_cell_angle_alpha 70.28
_cell_angle_beta 70.29
_cell_angle_gamma 75.93
loop_
_symmetry_equiv_pos_as_xyz
'x,y,z'
'-x,-y,-z'
loop_
_atom_site_label
_atom_site_type_symbol
_atom_site_fract_x
_atom_site_fract_y
_atom_site_fract_z
_atom_site_occupancy
Th1 Th 0.0188 0.0081 0.2016 1
Th2 Th 0.3557 0.3194 0.8267 1
Th3 Th 0.3895 0.1756 0.2985 1
Bi1 Bi 0.2274 0.7208 0.5305 1
Sb1 Sb 0.2124 0.6219 0.0670 1
```

***

Record 2
Computed, not measured: a relaxed structure of MnZn2Fe at the PBE level of DFT.

## Properties
Energy relative to the lowest polymorph listed for this composition: 74 meV per atom
Formation enthalpy at 0 K: 89 meV per atom
Calculated volume: 12.6 Å³ per atom

Cell and atoms, written as CIF:
```
data_MnZn2Fe
_chemical_formula_sum 'Mn3 Zn6 Fe3'
_symmetry_space_group_name_H-M 'R 3 m'
_symmetry_Int_Tables_number 160
_symmetry_space_group_name_Hall 'R 3 -2"'
_cell_length_a 2.5721
_cell_length_b 2.5721
_cell_length_c 26.3706
_cell_angle_alpha 90.00
_cell_angle_beta 90.00
_cell_angle_gamma 120.00
loop_
_atom_site_label
_atom_site_type_symbol
_atom_site_fract_x
_atom_site_fract_y
_atom_site_fract_z
_atom_site_occupancy
Mn1 Mn 0.0000 0.0000 0.0000 1
Zn1 Zn 0.0000 0.0000 0.5132 1
Zn2 Zn 0.0000 0.0000 0.7503 1
Fe1 Fe 0.0000 0.0000 0.2626 1
```

***

Record 3
Computed, not measured: a relaxed structure of Ce6SnO12 at the PBE level of DFT.

## Properties
Formation energy from raw total energies: -3.18 eV/atom
Calculated volume: 15.3 Å³ per atom

Cell and atoms, written as CIF:
```
data_Ce6SnO12
_chemical_formula_sum 'Ce18 Sn3 O36'
_symmetry_space_group_name_H-M 'R -3'
_symmetry_Int_Tables_number 148
_symmetry_space_group_name_Hall '-R 3'
_cell_length_a 10.2195
_cell_length_b 10.2195
_cell_length_c 9.6217
_cell_angle_alpha 90.00
_cell_angle_beta 90.00
_cell_angle_gamma 120.00
loop_
_atom_site_label
_atom_site_type_symbol
_atom_site_fract_x
_atom_site_fract_y
_atom_site_fract_z
_atom_site_occupancy
Ce1 Ce 0.0483 0.2565 0.1548 1
Sn1 Sn 0.0000 0.0000 0.5000 1
O1 O 0.0343 0.2230 0.9000 1
O2 O 0.0391 0.1983 0.3918 1
```

***

Record 4
Computed, not measured: a relaxed structure of TcNiBr2 at the PBE level of DFT.

## Properties
Energy relative to the lowest polymorph listed for this composition: 470 meV per atom
Formation energy from raw total energies: 0.63 eV/atom
Calculated volume: 20.6 Å³ per atom

Cell and atoms, written as CIF:
```
data_TcNiBr2
_chemical_formula_sum 'Tc3 Ni3 Br6'
_symmetry_space_group_name_H-M 'R -3 m'
_symmetry_Int_Tables_number 166
_symmetry_space_group_name_Hall '-R 3 2"'
_cell_length_a 3.4966
_cell_length_b 3.4966
_cell_length_c 23.3165
_cell_angle_alpha 90.00
_cell_angle_beta 90.00
_cell_angle_gamma 120.00
loop_
_atom_site_label
_atom_site_type_symbol
_atom_site_fract_x
_atom_site_fract_y
_atom_site_fract_z
_atom_site_occupancy
Tc1 Tc 0.0000 0.0000 0.0000 1
Ni1 Ni 0.0000 0.0000 0.5000 1
Br1 Br 0.0000 0.0000 0.4033 1
```

***

Record 5
Computed, not measured: a relaxed structure of UTl2Br5 at the PBE level of DFT.

## Properties
Energy relative to the lowest polymorph listed for this composition: 0 meV per atom
Formation energy from raw total energies: -1.09 eV/atom
Calculated volume: 34.2 Å³ per atom

Cell and atoms, written as CIF:
```
data_UTl2Br5
_chemical_formula_sum 'U4 Tl8 Br20'
_symmetry_space_group_name_H-M 'P n m a'
_symmetry_Int_Tables_number 62
_cell_length_a 13.6845
_cell_length_b 9.2263
_cell_length_c 8.6604
_cell_angle_alpha 90.00
_cell_angle_beta 90.00
_cell_angle_gamma 90.00
loop_
_symmetry_equiv_pos_as_xyz
'x,y,z'
'-x,-y,-z'
'-x+1/2,-y,z+1/2'
'x+1/2,y,-z+1/2'
'x+1/2,-y+1/2,-z+1/2'
'-x+1/2,y+1/2,z+1/2'
'-x,y+1/2,-z'
'x,-y+1/2,z'
loop_
_atom_site_label
_atom_site_type_symbol
_atom_site_fract_x
_atom_site_fract_y
_atom_site_fract_z
_atom_site_occupancy
U1 U 0.0028 0.2500 0.0704 1
Tl1 Tl 0.1714 0.0032 0.5524 1
Br1 Br 0.0062 0.2500 0.4210 1
Br2 Br 0.0778 0.5429 0.1654 1
Br3 Br 0.1800 0.2500 0.8765 1
Br4 Br 0.2048 0.7500 0.8387 1
```

***

Record 6
Computed, not measured: a relaxed structure of Tb3NpAg3Te8 at the PBE level of DFT.

## Properties
Formation energy from raw total energies: -0.78 eV/atom
Calculated volume: 31.4 Å³ per atom

Cell and atoms, written as CIF:
```
data_Tb3NpAg3Te8
_chemical_formula_sum 'Tb6 Np2 Ag6 Te16'
_symmetry_space_group_name_H-M 'C 1 2/m 1'
_symmetry_Int_Tables_number 12
_cell_length_a 14.8407
_cell_length_b 8.8298
_cell_length_c 8.6533
_cell_angle_alpha 90.00
_cell_angle_beta 123.83
_cell_angle_gamma 90.00
loop_
_symmetry_equiv_pos_as_xyz
'x,y,z'
'-x,-y,-z'
'-x,y,-z'
'x,-y,z'
'x+1/2,y+1/2,z'
'-x+1/2,-y+1/2,-z'
'-x+1/2,y+1/2,-z'
'x+1/2,-y+1/2,z'
loop_
_atom_site_label
_atom_site_type_symbol
_atom_site_fract_x
_atom_site_fract_y
_atom_site_fract_z
_atom_site_occupancy
Tb1 Tb 0.0000 0.0000 0.0000 1
Tb2 Tb 0.2500 0.2500 0.5000 1
Np1 Np 0.0000 0.5000 0.0000 1
Ag1 Ag 0.0000 0.5000 0.5000 1
Ag2 Ag 0.2500 0.2500 0.0000 1
Te1 Te 0.0012 0.2508 0.7507 1
Te2 Te 0.2475 0.5000 0.7515 1
Te3 Te 0.2496 0.0000 0.7509 1
```

***

Which total magnetic moment belongs to each record? In order, 0.0 1.8 12.2 3.3 12.0 6.0 μB/cell.